A relaxed Y4NiTeSe2 crystal, computed with PBE-GGA.

It has space group P2/m (No. 10), with a = 7.2568 Å, b = 4.0430 Å, c = 7.2909 Å, α = 90.00°, β = 108.39° and γ = 90.00°. Symmetry generates all atoms from Y at (0.2316, 0.0000, 0.2196), Y at (0.2550, 0.5000, 0.7737), Ni at (0.0000, 0.5000, 0.0000), Te at (0.0000, 0.0000, 0.5000), Se at (0.5000, 0.0000, 0.0000) and Se at (0.5000, 0.5000, 0.5000).

---

A relaxed Th4NiSe3 crystal, computed with PBE-GGA.

It has space group P2/c (No. 13), with a = 7.3142 Å, b = 8.4179 Å, c = 7.2089 Å, α = 90.00°, β = 109.07° and γ = 90.00°. Symmetry generates all atoms from Th at (0.2277, 0.1121, 0.0061), Th at (0.2380, 0.3678, 0.4880), Ni at (0.0000, 0.1300, 0.2500), Se at (0.0000, 0.3708, 0.7500), Se at (0.5000, 0.1314, 0.7500) and Se at (0.5000, 0.3754, 0.2500).

---

A relaxed Th2Ni2Se crystal, computed with PBE-GGA.

It has space group C2/m (No. 12), with a = 7.2626 Å, b = 4.0312 Å, c = 7.9378 Å, α = 90.00°, β = 105.41° and γ = 90.00°. Symmetry generates all atoms from Th at (0.0978, 0.0000, 0.2385), Ni at (0.1640, 0.5000, 0.0067) and Se at (0.0000, 0.5000, 0.5000).

---

Which formation energy from raw total energies belongs to each record? In order, -1.272, -1.261, -0.891 eV/atom.
Which spin magnetization belongs to each record? In order, 0.0, 0.0, 0.0 Bohr magnetons per cell.